1.
# YIn, relaxed, DFT PBE
# energy of formation from the pure elements = -0.217 eV per atom
# VASP energy = -19.27 eV per cell
# V = 124 Å³/cell
data_YIn
_symmetry_space_group_name_H-M 'P 1'
_symmetry_Int_Tables_number 1
_cell_length_a 4.897
_cell_length_b 4.897
_cell_length_c 5.980
_cell_angle_alpha 90.00
_cell_angle_beta 90.00
_cell_angle_gamma 120.00
loop_
_symmetry_equiv_pos_as_xyz
'x,y,z'
loop_
_atom_site_label
_atom_site_type_symbol
_atom_site_fract_x
_atom_site_fract_y
_atom_site_fract_z
Y1 Y 0.333 0.667 0.250
Y2 Y 0.667 0.333 0.750
In1 In 0.000 0.000 0.000
In2 In 0.000 0.000 0.500



2.
# Pm5Sm2Y3, relaxed, DFT PBE
# energy of formation from the pure elements = 0.188 eV per atom
# VASP energy = -101.41 eV per cell
# V = 687 Å³/cell
data_Pm5Sm2Y3
_symmetry_space_group_name_H-M 'P 1'
_symmetry_Int_Tables_number 1
_cell_length_a 9.268
_cell_length_b 9.268
_cell_length_c 9.995
_cell_angle_alpha 108.50
_cell_angle_beta 108.50
_cell_angle_gamma 108.10
loop_
_symmetry_equiv_pos_as_xyz
'x,y,z'
loop_
_atom_site_label
_atom_site_type_symbol
_atom_site_fract_x
_atom_site_fract_y
_atom_site_fract_z
Pm1 Pm 0.015 0.985 0.750
Pm2 Pm 0.135 0.389 0.767
Pm3 Pm 0.225 0.775 0.750
Pm4 Pm 0.389 0.135 0.267
Pm5 Pm 0.475 0.525 0.250
Pm6 Pm 0.525 0.475 0.750
Pm7 Pm 0.611 0.865 0.733
Pm8 Pm 0.775 0.225 0.250
Pm9 Pm 0.865 0.611 0.233
Pm10 Pm 0.985 0.015 0.250
Sm1 Sm 0.024 0.275 0.057
Sm2 Sm 0.275 0.024 0.557
Sm3 Sm 0.725 0.976 0.443
Sm4 Sm 0.976 0.725 0.943
Y1 Y 0.220 0.469 0.448
Y2 Y 0.270 0.730 0.250
Y3 Y 0.469 0.220 0.948
Y4 Y 0.531 0.780 0.052
Y5 Y 0.730 0.270 0.750
Y6 Y 0.780 0.531 0.552



3.
# Pm3Sm2Pb4, relaxed, DFT PBE
# energy of formation from the pure elements = -0.432 eV per atom
# VASP energy = -42.42 eV per cell
# ΔE to the lowest computed polymorph = 0.436 eV per formula unit
# V = 296 Å³/cell
data_Pm3Sm2Pb4
_symmetry_space_group_name_H-M 'P 1'
_symmetry_Int_Tables_number 1
_cell_length_a 6.355
_cell_length_b 6.355
_cell_length_c 10.265
_cell_angle_alpha 96.03
_cell_angle_beta 96.03
_cell_angle_gamma 45.91
loop_
_symmetry_equiv_pos_as_xyz
'x,y,z'
loop_
_atom_site_label
_atom_site_type_symbol
_atom_site_fract_x
_atom_site_fract_y
_atom_site_fract_z
Pm1 Pm 0.000 0.000 0.000
Pm2 Pm 0.373 0.373 0.579
Pm3 Pm 0.627 0.627 0.421
Sm1 Sm 0.321 0.321 0.187
Sm2 Sm 0.679 0.679 0.813
Pb1 Pb 0.089 0.089 0.634
Pb2 Pb 0.355 0.355 0.882
Pb3 Pb 0.645 0.645 0.118
Pb4 Pb 0.911 0.911 0.366



4.
# ZrB, relaxed, DFT PBE
# energy of formation from the pure elements = -0.180 eV per atom
# VASP energy = -62.34 eV per cell
# V = 114 Å³/cell
data_ZrB
_symmetry_space_group_name_H-M 'P 1'
_symmetry_Int_Tables_number 1
_cell_length_a 5.392
_cell_length_b 5.392
_cell_length_c 5.392
_cell_angle_alpha 102.57
_cell_angle_beta 102.57
_cell_angle_gamma 124.39
loop_
_symmetry_equiv_pos_as_xyz
'x,y,z'
loop_
_atom_site_label
_atom_site_type_symbol
_atom_site_fract_x
_atom_site_fract_y
_atom_site_fract_z
Zr1 Zr 0.079 0.699 0.778
Zr2 Zr 0.301 0.079 0.380
Zr3 Zr 0.699 0.921 0.620
Zr4 Zr 0.921 0.301 0.222
B1 B 0.324 0.439 0.763
B2 B 0.439 0.676 0.115
B3 B 0.561 0.324 0.885
B4 B 0.676 0.561 0.237



5.
# SiGeO2F, relaxed, DFT PBE
# formation energy (no corrections) = -0.79 eV/atom
# VASP energy = -25.77 eV per cell
# V = 61 Å³/cell
data_SiGeO2F
_symmetry_space_group_name_H-M 'P 1'
_symmetry_Int_Tables_number 1
_cell_length_a 3.870
_cell_length_b 3.870
_cell_length_c 4.097
_cell_angle_alpha 90.00
_cell_angle_beta 90.00
_cell_angle_gamma 90.00
loop_
_symmetry_equiv_pos_as_xyz
'x,y,z'
loop_
_atom_site_label
_atom_site_type_symbol
_atom_site_fract_x
_atom_site_fract_y
_atom_site_fract_z
Si1 Si 0.000 0.000 0.000
Ge1 Ge 0.500 0.500 0.500
O1 O 0.000 0.500 0.500
O2 O 0.500 0.000 0.500
F1 F 0.500 0.500 0.000



6.
# Na2LaOs, relaxed, DFT PBE
# energy of formation from the pure elements = 0.536 eV per atom
# VASP energy = -33.30 eV per cell
# ΔE to the lowest computed polymorph = 0.000 eV per formula unit
# V = 203 Å³/cell
data_Na2LaOs
_symmetry_space_group_name_H-M 'P 1'
_symmetry_Int_Tables_number 1
_cell_length_a 12.379
_cell_length_b 12.379
_cell_length_c 12.379
_cell_angle_alpha 160.92
_cell_angle_beta 160.92
_cell_angle_gamma 27.11
loop_
_symmetry_equiv_pos_as_xyz
'x,y,z'
loop_
_atom_site_label
_atom_site_type_symbol
_atom_site_fract_x
_atom_site_fract_y
_atom_site_fract_z
Na1 Na 0.093 0.625 0.968
Na2 Na 0.375 0.343 0.468
Na3 Na 0.657 0.125 0.032
Na4 Na 0.875 0.907 0.532
La1 La 0.250 0.750 0.500
La2 La 0.500 0.500 0.000
Os1 Os 0.000 0.000 0.000
Os2 Os 0.750 0.250 0.500



7.
# MnIrS2, relaxed, DFT PBE
# formation energy (no corrections) = -0.24 eV/atom
# VASP energy = -27.23 eV per cell
# ΔE to the lowest computed polymorph = 0.000 eV per formula unit
# V = 59 Å³/cell
data_MnIrS2
_symmetry_space_group_name_H-M 'P 1'
_symmetry_Int_Tables_number 1
_cell_length_a 7.566
_cell_length_b 7.566
_cell_length_c 7.566
_cell_angle_alpha 23.16
_cell_angle_beta 23.16
_cell_angle_gamma 23.16
loop_
_symmetry_equiv_pos_as_xyz
'x,y,z'
loop_
_atom_site_label
_atom_site_type_symbol
_atom_site_fract_x
_atom_site_fract_y
_atom_site_fract_z
Mn1 Mn 0.000 0.000 0.000
Ir1 Ir 0.500 0.500 0.500
S1 S 0.398 0.398 0.398
S2 S 0.602 0.602 0.602



8.
# AgBPb2S4, relaxed, DFT PBE
# formation energy (no corrections) = -0.16 eV/atom
# VASP energy = -69.42 eV per cell
# V = 471 Å³/cell
data_AgBPb2S4
_symmetry_space_group_name_H-M 'P 1'
_symmetry_Int_Tables_number 1
_cell_length_a 8.539
_cell_length_b 8.539
_cell_length_c 8.838
_cell_angle_alpha 120.74
_cell_angle_beta 120.74
_cell_angle_gamma 68.24
loop_
_symmetry_equiv_pos_as_xyz
'x,y,z'
loop_
_atom_site_label
_atom_site_type_symbol
_atom_site_fract_x
_atom_site_fract_y
_atom_site_fract_z
Ag1 Ag 0.000 0.500 0.000
Ag2 Ag 0.500 0.000 0.500
B1 B 0.000 0.000 0.000
B2 B 0.000 0.000 0.500
Pb1 Pb 0.000 0.500 0.500
Pb2 Pb 0.500 0.000 0.000
Pb3 Pb 0.500 0.500 0.000
Pb4 Pb 0.500 0.500 0.500
S1 S 0.168 0.830 0.947
S2 S 0.170 0.832 0.553
S3 S 0.307 0.350 0.081
S4 S 0.350 0.307 0.581
S5 S 0.650 0.693 0.419
S6 S 0.693 0.650 0.919
S7 S 0.830 0.168 0.447
S8 S 0.832 0.170 0.053



9.
# VTc4Ge3, relaxed, DFT PBE
# energy of formation from the pure elements = -0.155 eV per atom
# VASP energy = -65.67 eV per cell
# V = 114 Å³/cell
data_VTc4Ge3
_symmetry_space_group_name_H-M 'P 1'
_symmetry_Int_Tables_number 1
_cell_length_a 6.768
_cell_length_b 6.768
_cell_length_c 6.768
_cell_angle_alpha 142.62
_cell_angle_beta 142.62
_cell_angle_gamma 53.89
loop_
_symmetry_equiv_pos_as_xyz
'x,y,z'
loop_
_atom_site_label
_atom_site_type_symbol
_atom_site_fract_x
_atom_site_fract_y
_atom_site_fract_z
V1 V 0.000 0.000 0.000
Tc1 Tc 0.127 0.627 0.500
Tc2 Tc 0.373 0.873 0.500
Tc3 Tc 0.627 0.127 0.500
Tc4 Tc 0.873 0.373 0.500
Ge1 Ge 0.247 0.247 0.000
Ge2 Ge 0.500 0.500 0.000
Ge3 Ge 0.753 0.753 0.000



10.
# GeHF2, relaxed, DFT PBE
# VASP energy = -14.74 eV per cell
# ΔE to the lowest computed polymorph = 2.237 eV per formula unit
# V = 40 Å³/cell
data_GeHF2
_symmetry_space_group_name_H-M 'P 1'
_symmetry_Int_Tables_number 1
_cell_length_a 6.226
_cell_length_b 6.226
_cell_length_c 6.226
_cell_angle_alpha 25.66
_cell_angle_beta 25.66
_cell_angle_gamma 25.66
loop_
_symmetry_equiv_pos_as_xyz
'x,y,z'
loop_
_atom_site_label
_atom_site_type_symbol
_atom_site_fract_x
_atom_site_fract_y
_atom_site_fract_z
Ge1 Ge 0.000 0.000 0.000
H1 H 0.500 0.500 0.500
F1 F 0.114 0.114 0.114
F2 F 0.886 0.886 0.886



11.
# Te3Pd2, relaxed, DFT PBE
# formation energy (no corrections) = -0.30 eV/atom
# VASP energy = -42.64 eV per cell
# V = 252 Å³/cell
data_Te3Pd2
_symmetry_space_group_name_H-M 'P 1'
_symmetry_Int_Tables_number 1
_cell_length_a 7.067
_cell_length_b 7.067
_cell_length_c 7.067
_cell_angle_alpha 60.38
_cell_angle_beta 60.38
_cell_angle_gamma 60.38
loop_
_symmetry_equiv_pos_as_xyz
'x,y,z'
loop_
_atom_site_label
_atom_site_type_symbol
_atom_site_fract_x
_atom_site_fract_y
_atom_site_fract_z
Te1 Te 0.059 0.750 0.441
Te2 Te 0.250 0.559 0.941
Te3 Te 0.441 0.059 0.750
Te4 Te 0.559 0.941 0.250
Te5 Te 0.750 0.441 0.059
Te6 Te 0.941 0.250 0.559
Pd1 Pd 0.152 0.152 0.152
Pd2 Pd 0.348 0.348 0.348
Pd3 Pd 0.652 0.652 0.652
Pd4 Pd 0.848 0.848 0.848



12.
# LiHfRhS2, relaxed, DFT PBE
# formation energy (no corrections) = -0.01 eV/atom
# VASP energy = -27.52 eV per cell
# V = 86 Å³/cell
data_LiHfRhS2
_symmetry_space_group_name_H-M 'P 1'
_symmetry_Int_Tables_number 1
_cell_length_a 4.632
_cell_length_b 4.632
_cell_length_c 4.001
_cell_angle_alpha 90.00
_cell_angle_beta 90.00
_cell_angle_gamma 90.00
loop_
_symmetry_equiv_pos_as_xyz
'x,y,z'
loop_
_atom_site_label
_atom_site_type_symbol
_atom_site_fract_x
_atom_site_fract_y
_atom_site_fract_z
Li1 Li 0.000 0.000 0.000
Hf1 Hf 0.500 0.500 0.000
Rh1 Rh 0.000 0.000 0.500
S1 S 0.000 0.500 0.500
S2 S 0.500 0.000 0.500



Repeat the third record exactly.
# Pm3Sm2Pb4, relaxed, DFT PBE
# energy of formation from the pure elements = -0.432 eV per atom
# VASP energy = -42.42 eV per cell
# ΔE to the lowest computed polymorph = 0.436 eV per formula unit
# V = 296 Å³/cell
data_Pm3Sm2Pb4
_symmetry_space_group_name_H-M 'P 1'
_symmetry_Int_Tables_number 1
_cell_length_a 6.355
_cell_length_b 6.355
_cell_length_c 10.265
_cell_angle_alpha 96.03
_cell_angle_beta 96.03
_cell_angle_gamma 45.91
loop_
_symmetry_equiv_pos_as_xyz
'x,y,z'
loop_
_atom_site_label
_atom_site_type_symbol
_atom_site_fract_x
_atom_site_fract_y
_atom_site_fract_z
Pm1 Pm 0.000 0.000 0.000
Pm2 Pm 0.373 0.373 0.579
Pm3 Pm 0.627 0.627 0.421
Sm1 Sm 0.321 0.321 0.187
Sm2 Sm 0.679 0.679 0.813
Pb1 Pb 0.089 0.089 0.634
Pb2 Pb 0.355 0.355 0.882
Pb3 Pb 0.645 0.645 0.118
Pb4 Pb 0.911 0.911 0.366



Question: V of number 4 (ZrB)?
Answer: 114 Å³/cell



Question: Among the records above, which one has the highest VASP energy?
Answer: GeHF2